1.
Density functional theory data (PBE) for an optimized crystal structure of Pr3CdCu8.

Computed properties:
For the volume, the calculation gives 211.6 Å³/cell. As for the total magnetization: 0.000 μB/f.u. The calculation puts the total energy at -4.12 eV/atom. The space group is No. 160.

Unit cell a=9.215 b=9.215 c=9.215 alpha=33.44 beta=33.44 gamma=33.44
Fractional positions:
Pr: 0.000 0.000 0.000
Pr: 0.125 0.125 0.125
Pr: 0.510 0.510 0.510
Cd: 0.633 0.633 0.633
Cu: 0.062 0.567 0.567
Cu: 0.072 0.072 0.560
Cu: 0.072 0.560 0.072
Cu: 0.316 0.316 0.316
Cu: 0.560 0.072 0.072
Cu: 0.567 0.062 0.567
Cu: 0.567 0.567 0.062
Cu: 0.818 0.818 0.818

***

2.
Density functional theory data (PBE) for an optimized crystal structure of NbSbPI2.

Computed properties:
For the volume, the calculation gives 169.1 Å³/cell. As for the total magnetization: 2.488 μB/f.u. Its formation energy from raw total energies is 0.750 eV/atom. The space group is No. 123.

Unit cell a=5.502 b=5.502 c=5.585 alpha=90.00 beta=90.00 gamma=90.00
Fractional positions:
Nb: 0.000 0.000 0.000
Sb: 0.000 0.000 0.500
P: 0.500 0.500 0.500
I: 0.000 0.500 0.000
I: 0.500 0.000 0.000

***

3.
Density functional theory data (PBE) for an optimized crystal structure of NbSbS2.

Computed properties:
For the volume, the calculation gives 209.9 Å³/cell. As for the total magnetization: 0.000 μB/f.u. Its formation energy from raw total energies is -0.022 eV/atom. The space group is No. 122.

Unit cell a=6.917 b=6.917 c=6.917 alpha=125.84 beta=125.84 gamma=80.14
Fractional positions:
Nb: 0.000 0.000 0.000
Nb: 0.750 0.250 0.500
Sb: 0.250 0.750 0.500
Sb: 0.500 0.500 0.000
S: 0.058 0.625 0.933
S: 0.375 0.308 0.433
S: 0.692 0.125 0.067
S: 0.875 0.942 0.567

***

4.
Density functional theory data (PBE) for an optimized crystal structure of Pm8Tm2Pb.

Computed properties:
For the volume, the calculation gives 357.4 Å³/cell. As for the total magnetization: 0.000 μB/f.u. The calculation puts the total energy at -4.69 eV/atom. The space group is No. 12.

Unit cell a=9.499 b=9.499 c=8.087 alpha=105.10 beta=105.10 gamma=30.58
Fractional positions:
Pm: 0.044 0.044 0.228
Pm: 0.138 0.138 0.681
Pm: 0.321 0.321 0.593
Pm: 0.409 0.409 0.056
Pm: 0.591 0.591 0.944
Pm: 0.679 0.679 0.407
Pm: 0.862 0.862 0.319
Pm: 0.956 0.956 0.772
Tm: 0.224 0.224 0.132
Tm: 0.776 0.776 0.868
Pb: 0.500 0.500 0.500

***

5.
Density functional theory data (PBE) for an optimized crystal structure of NiRuSe2.

Computed properties:
For the volume, the calculation gives 81.1 Å³/cell. As for the total magnetization: 0.006 μB/f.u. Its formation energy from raw total energies is -0.192 eV/atom. The space group is No. 6.

Unit cell a=3.827 b=3.829 c=5.533 alpha=90.00 beta=90.43 gamma=90.00
Fractional positions:
Ni: 0.000 0.000 0.000
Ru: 0.500 0.500 0.000
Se: 0.003 0.500 0.265
Se: 0.497 0.000 0.735

***

6.
Density functional theory data (PBE) for an optimized crystal structure of KIr2Os.

Computed properties:
For the volume, the calculation gives 71.8 Å³/cell. As for the total magnetization: 0.000 μB/f.u. The calculation puts the total energy at -7.03 eV/atom. The space group is No. 123.

Unit cell a=2.804 b=2.804 c=9.124 alpha=90.00 beta=90.00 gamma=90.00
Fractional positions:
K: 0.000 0.000 0.000
Ir: 0.500 0.500 0.305
Ir: 0.500 0.500 0.695
Os: 0.000 0.000 0.500

***

7.
Density functional theory data (PBE) for an optimized crystal structure of BeNbAg.

Computed properties:
For the volume, the calculation gives 95.5 Å³/cell. As for the total magnetization: 0.000 μB/f.u. The calculation puts the total energy at -5.25 eV/atom. The space group is No. 1.

Unit cell a=2.703 b=6.322 c=6.517 alpha=117.36 beta=98.68 gamma=96.82
Fractional positions:
Be: 0.000 0.000 0.000
Be: 0.213 0.213 0.427
Nb: 0.479 0.816 0.213
Nb: 0.683 0.396 0.214
Ag: 0.365 0.655 0.693
Ag: 0.883 0.177 0.734

***

8.
Density functional theory data (PBE) for an optimized crystal structure of PmAsPd6.

Computed properties:
For the volume, the calculation gives 165.7 Å³/cell. As for the total magnetization: 0.000 μB/f.u. The calculation puts the total energy at -5.40 eV/atom. The space group is No. 166.

Unit cell a=6.920 b=6.920 c=6.920 alpha=47.66 beta=47.66 gamma=47.66
Fractional positions:
Pm: 0.000 0.000 0.000
As: 0.500 0.500 0.500
Pd: 0.062 0.579 0.579
Pd: 0.421 0.421 0.938
Pd: 0.421 0.938 0.421
Pd: 0.579 0.062 0.579
Pd: 0.579 0.579 0.062
Pd: 0.938 0.421 0.421